## Te2OsCl (PBE)

Data for a geometry-optimized Te2OsCl structure.

The structure in POSCAR format:
```
Te2OsCl
1.0
4.6520 0.0000 0.0000
0.0000 4.2724 0.0000
0.0000 0.0000 4.2724
Cl Os Te
1 1 2
Cartesian
2.3260 2.1362 0.0000
2.3260 0.0000 2.1362
0.0000 0.0000 0.0000
0.0000 2.1362 2.1362
```

The density comes out at 9.40 g cm⁻³. Its space group is No. 123. The calculation puts the energy above the lowest structure with this stoichiometry at 1.157 eV per atom. Its density of states at the Fermi level is 0.58 states/eV per atom. The uncorrected energy comes out at -3.69 eV per atom. For the uncorrected formation energy, the calculation gives 1146 meV per atom. As for the magnetic moment: 0.00 μB/f.u.